Below is crystalline CoBF2 at its relaxed geometry, with properties calculated at the PBE+U level.

The structure in POSCAR format:
```
CoBF2
1.0
1.3106 0.7567 8.9391
-1.3106 0.7567 8.9391
0.0000 -1.5134 8.9391
Co B F
1 1 2
Cartesian
0.0000 0.0000 0.0000 Co
0.0000 0.0000 13.4087 B
0.0000 0.0000 12.0564 F
0.0000 0.0000 14.7611 F
```

Summary:
Energy relative to the lowest polymorph listed for this composition   0.0000 eV per atom
D(E_F)   2.1 states/eV per cell
Spin magnetization   2.845 μB/f.u.
Mass density   3.363 g cm⁻³